(1)
First-principles (PBE-GGA) data for an optimized crystal structure of IrSeBr2, as listed in Alexandria.

The structure in POSCAR format:
```
IrSeBr2
1.0
7.5111 0.1058 -0.0071
5.2436 5.3790 0.0071
-5.9480 -3.7408 2.6563
Ir Se Br
1 1 2
direct
0.7500 0.2500 0.5000
0.2500 0.7500 0.5000
0.8929 0.8929 0.0000
0.6071 0.6071 0.0000
```

Values from the calculation:
Volume (Å³ per atom): 26.49
E above lowest polymorph (meV/atom): 426.2
Formation energy without anion corrections (eV per atom): 0.362

***

(2)
First-principles (PBE-GGA) data for an optimized crystal structure of SiRu2W, as listed in Alexandria.

The structure in POSCAR format:
```
SiRu2W
1.0
-2.4774 -1.3665 -0.5227
1.4280 -2.4822 -0.2787
-0.7476 -1.1720 6.6072
W Si Ru
1 1 2
direct
0.5000 0.5000 0.7355
0.0000 0.0000 0.4818
0.0000 0.0000 0.0016
0.5000 0.5000 0.2812
```

Values from the calculation:
Volume (Å³ per atom): 13.97
Formation energy without anion corrections (eV per atom): -0.148

***

(3)
First-principles (PBE-GGA) data for an optimized crystal structure of CdMoSe, as listed in Alexandria.

The structure in POSCAR format:
```
CdMoSe
1.0
-2.8468 -1.3384 -3.7116
0.7583 -3.0559 3.7092
-2.1508 1.0215 1.2813
Se Mo Cd
1 1 1
direct
0.3333 0.6667 0.5008
0.6667 0.3333 0.5000
0.0000 0.0000 0.9992
```

Values from the calculation:
Volume (Å³ per atom): 18.48
E above lowest polymorph (meV/atom): 550.2
Formation energy without anion corrections (eV per atom): 0.468

***

(4)
First-principles (PBE-GGA) data for an optimized crystal structure of PrPd2O4, as listed in Alexandria.

The structure in POSCAR format:
```
PrPd2O4
1.0
6.0113 0.0010 2.7055
3.0027 5.0012 1.3575
0.5423 -0.0061 6.8261
Pd Pr O
4 2 8
direct
0.3750 0.2500 0.7500
0.8750 0.7500 0.7500
0.3750 0.7500 0.2500
0.3750 0.2500 0.2500
0.0000 0.0000 0.0000
0.7500 0.5000 0.5000
0.7156 0.1487 0.7725
0.2381 0.6487 0.7275
0.0343 0.3513 0.7276
0.5119 0.8513 0.7725
0.6144 0.3513 0.2724
0.1356 0.1487 0.2276
0.6368 0.8513 0.2275
0.1132 0.6487 0.2724
```

Values from the calculation:
Volume (Å³ per atom): 14.13
E above lowest polymorph (meV/atom): 182.9
Formation energy without anion corrections (eV per atom): -1.346

***

(5)
First-principles (PBE-GGA) data for an optimized crystal structure of PRu, as listed in Alexandria.

The structure in POSCAR format:
```
PRu
1.0
3.5906 0.0000 -0.3793
0.0000 4.4239 0.0000
-1.3399 0.0000 4.0188
P Ru
2 2
direct
0.3983 0.2500 0.3044
0.6017 0.7500 0.6956
0.2801 0.7500 0.0618
0.7199 0.2500 0.9382
```

Values from the calculation:
Calculated formation energy (eV/atom): -0.494
Volume (Å³ per atom): 15.40
E above lowest polymorph (meV/atom): 67.2

***

(6)
First-principles (PBE-GGA) data for an optimized crystal structure of NdBiS3, as listed in Alexandria.

The structure in POSCAR format:
```
NdBiS3
1.0
-2.6386 6.0363 -3.4746
-0.2096 -3.9519 -6.7063
-9.9372 -0.4505 0.5760
S Bi Nd
12 4 4
direct
0.7602 0.1219 0.2288
0.2602 0.3781 0.7288
0.7398 0.6219 0.2712
0.2398 0.8781 0.7712
0.8102 0.3597 0.5806
0.2229 0.1209 0.4045
0.1898 0.6403 0.4194
0.7229 0.3791 0.9045
0.2771 0.6209 0.0955
0.7771 0.8791 0.5955
0.3102 0.1403 0.0806
0.6898 0.8597 0.9194
0.0326 0.1400 0.6691
0.9674 0.8600 0.3309
0.5326 0.3600 0.1691
0.4674 0.6400 0.8309
0.4813 0.8684 0.2148
0.0187 0.3684 0.2852
0.9813 0.6316 0.7148
0.5187 0.1316 0.7852
```

Values from the calculation:
Volume (Å³ per atom): 27.66
E above lowest polymorph (meV/atom): 76.3
Formation energy without anion corrections (eV per atom): -1.102

***

(7)
First-principles (PBE-GGA) data for an optimized crystal structure of GdDyAlPd, as listed in Alexandria.

The structure in POSCAR format:
```
GdDyAlPd
1.0
5.0815 0.0000 0.0000
2.5407 4.4007 0.0000
2.5407 1.4669 4.1490
Pd Dy Gd Al
1 1 1 1
direct
0.0000 0.0000 0.0000
0.2500 0.2500 0.2500
0.7500 0.7500 0.7500
0.5000 0.5000 0.5000
```

Values from the calculation:
Calculated formation energy (eV/atom): -0.562
Volume (Å³ per atom): 23.19

***

(8)
First-principles (PBE-GGA) data for an optimized crystal structure of YZrCu2, as listed in Alexandria.

The structure in POSCAR format:
```
YZrCu2
1.0
4.7042 0.0000 0.0000
2.3521 4.0740 0.0000
2.3521 1.3580 3.8410
Cu Y Zr
2 1 1
direct
0.0000 0.0000 0.0000
0.2500 0.2500 0.2500
0.5000 0.5000 0.5000
0.7500 0.7500 0.7500
```

Values from the calculation:
Calculated formation energy (eV/atom): 0.264
Volume (Å³ per atom): 18.40
E above lowest polymorph (meV/atom): 412.5

***

(9)
First-principles (PBE-GGA) data for an optimized crystal structure of Sm2SeF4, as listed in Alexandria.

The structure in POSCAR format:
```
Sm2SeF4
1.0
3.8554 0.0000 0.0000
0.0000 7.4741 0.0000
0.0000 0.0000 7.4741
F Sm Se
8 4 2
direct
0.0000 0.9125 0.6708
0.0000 0.3292 0.0875
0.0000 0.0875 0.3292
0.5000 0.8292 0.4125
0.5000 0.4125 0.8292
0.5000 0.1708 0.5875
0.0000 0.6708 0.9125
0.5000 0.5875 0.1708
0.5000 0.7209 0.7209
0.5000 0.2791 0.2791
0.0000 0.2209 0.7791
0.0000 0.7791 0.2209
0.5000 0.0000 0.0000
0.0000 0.5000 0.5000
```

Values from the calculation:
Volume (Å³ per atom): 15.38
Formation energy without anion corrections (eV per atom): -3.553

***

(10)
First-principles (PBE-GGA) data for an optimized crystal structure of K2AlBSe4, as listed in Alexandria.

The structure in POSCAR format:
```
K2AlBSe4
1.0
5.7869 0.0000 0.0000
2.8935 6.8342 0.0000
2.8935 0.0000 12.0109
Se B K Al
8 2 4 2
direct
0.5750 0.1785 0.1003
0.3247 0.8215 0.1003
0.2465 0.1785 0.8997
0.8962 0.6785 0.6003
0.8538 0.8215 0.8997
0.5035 0.3215 0.6003
0.1750 0.3215 0.3997
0.4253 0.6785 0.3997
0.5000 0.0000 0.0000
0.2500 0.5000 0.5000
0.9320 0.5000 0.1361
0.8180 0.0000 0.3639
0.1820 0.0000 0.6361
0.5680 0.5000 0.8639
0.0000 0.0000 0.0000
0.7500 0.5000 0.5000
```

Values from the calculation:
Volume (Å³ per atom): 29.69
Formation energy without anion corrections (eV per atom): -0.829

***

(11)
First-principles (PBE-GGA) data for an optimized crystal structure of Tb6Sc5, as listed in Alexandria.

The structure in POSCAR format:
```
Tb6Sc5
1.0
5.0529 -0.6116 -1.5356
-2.9629 7.6162 -3.5882
-0.1277 -0.3585 8.9172
Sc Tb
5 6
direct
0.5000 0.2021 0.7979
0.0000 0.6624 0.3376
0.5000 0.5000 0.5000
0.5000 0.7979 0.2021
0.0000 0.3376 0.6624
0.7131 0.2129 0.2129
0.7886 0.6458 0.9315
0.2114 0.3542 0.0685
0.2114 0.0685 0.3542
0.2869 0.7871 0.7871
0.7886 0.9315 0.6458
```

Values from the calculation:
Calculated formation energy (eV/atom): 0.133
Volume (Å³ per atom): 28.83
E above lowest polymorph (meV/atom): 0.0

***

(12)
First-principles (PBE-GGA) data for an optimized crystal structure of K2SiAu, as listed in Alexandria.

The structure in POSCAR format:
```
K2SiAu
1.0
-2.2452 -4.6153 -2.4632
5.2226 1.7365 -1.4552
1.5612 -2.2908 2.8693
Au K Si
1 2 1
direct
0.0000 0.5000 0.5000
0.5000 0.5000 0.0000
0.0000 0.0000 0.0000
0.5000 0.0000 0.5000
```

Values from the calculation:
Volume (Å³ per atom): 28.02
Formation energy without anion corrections (eV per atom): 0.234